[1]
An optimized crystal structure of KMn2Tc, computed with GGA-PBE.

abc: 10.212 10.212 10.212
angles: 16.51 16.51 16.51
Each line ends with the local moment (μB).
Atoms (fractional coordinates):
Mn  0.982  0.982  0.982  3.33
Mn  0.518  0.518  0.518  3.33
K  0.750  0.750  0.750  -0.03
Tc  0.250  0.250  0.250  -0.36

energy of formation = 0.8406 eV per atom
ΔE to the lowest computed polymorph = 212 meV per atom
theoretical density = 5.47 Mg/m³
SG = R-3m, No. 166
volume = 75 Å³/cell
VASP energy = -0.243 Ha/atom

---

[2]
An optimized crystal structure of KMnTc2, computed with GGA-PBE.

abc: 4.832 4.832 6.757
angles: 81.41 81.41 35.19
Each line ends with the local moment (μB).
Atoms (fractional coordinates):
Mn  0.250  0.250  0.250  2.56
Tc  0.960  0.960  0.124  -0.83
Tc  0.540  0.540  0.376  -0.83
K  0.750  0.750  0.750  -0.01

energy of formation = 0.9247 eV per atom
ΔE to the lowest computed polymorph = 249 meV per atom
theoretical density = 5.36 Mg/m³
SG = C2/m, No. 12
volume = 90 Å³/cell
VASP energy = -0.251 Ha/atom

---

[3]
An optimized crystal structure of KMn2Tc, computed with GGA-PBE.

abc: 4.398 4.398 4.398
angles: 60.00 60.00 60.00
Atoms (fractional coordinates):
K  0.000  0.000  0.000
Tc  0.500  0.500  0.500
Mn  0.250  0.250  0.250
Mn  0.750  0.750  0.750

energy of formation = 1.6390 eV per atom
ΔE to the lowest computed polymorph = 1010 meV per atom
theoretical density = 6.82 Mg/m³
SG = Fm-3m, No. 225
volume = 60 Å³/cell
VASP energy = -0.214 Ha/atom

---

[4]
An optimized crystal structure of KMnTc2, computed with GGA-PBE.

abc: 4.953 4.953 8.632
angles: 73.33 73.33 90.00
Atoms (fractional coordinates):
K  0.250  0.750  0.500
Tc  0.875  0.125  0.250
Tc  0.875  0.625  0.250
Mn  0.000  0.000  0.000
Tc  0.375  0.125  0.750
Mn  0.750  0.250  0.500
K  0.500  0.500  0.000
Tc  0.875  0.125  0.750

energy of formation = 1.5863 eV per atom
ΔE to the lowest computed polymorph = 911 meV per atom
theoretical density = 4.98 Mg/m³
SG = I4_1/amd, No. 141
volume = 194 Å³/cell
VASP energy = -0.227 Ha/atom

---

[5]
An optimized crystal structure of KMn2Tc, computed with GGA-PBE.

abc: 4.329 4.329 7.464
angles: 86.82 86.82 38.18
Each line ends with the local moment (μB).
Atoms (fractional coordinates):
Mn  0.513  0.513  0.396  3.22
Mn  0.987  0.987  0.104  3.22
K  0.750  0.750  0.750  0.01
Tc  0.250  0.250  0.250  -0.58

energy of formation = 0.7576 eV per atom
ΔE to the lowest computed polymorph = 129 meV per atom
theoretical density = 4.75 Mg/m³
SG = C2/m, No. 12
volume = 86 Å³/cell
VASP energy = -0.246 Ha/atom

---

[6]
An optimized crystal structure of KMnTc2, computed with GGA-PBE.

abc: 4.530 4.530 7.309
angles: 87.34 87.34 35.90
Each line ends with the local moment (μB).
Atoms (fractional coordinates):
Tc  0.740  0.740  0.860  0.00
Mn  0.266  0.266  0.149  3.45
K  0.502  0.502  0.505  0.02
Tc  0.993  0.993  0.986  -0.18

energy of formation = 0.8136 eV per atom
ΔE to the lowest computed polymorph = 138 meV per atom
theoretical density = 5.48 Mg/m³
SG = Cm, No. 8
volume = 88 Å³/cell
VASP energy = -0.255 Ha/atom

---

[7]
An optimized crystal structure of K2MnTc, computed with GGA-PBE.

abc: 2.849 2.849 11.944
angles: 90.00 90.00 109.36
Each line ends with the local moment (μB).
Atoms (fractional coordinates):
K  0.000  0.000  0.512  -0.02
Mn  0.500  0.500  0.250  3.79
K  0.000  0.000  0.988  -0.02
Tc  0.500  0.500  0.750  0.02

energy of formation = 1.3427 eV per atom
ΔE to the lowest computed polymorph = 582 meV per atom
theoretical density = 4.20 Mg/m³
SG = Cmmm, No. 65
volume = 91 Å³/cell
VASP energy = -0.150 Ha/atom

---

[8]
An optimized crystal structure of KMn2Tc, computed with GGA-PBE.

abc: 2.972 2.972 8.673
angles: 90.00 90.00 90.00
Each line ends with the local moment (μB).
Atoms (fractional coordinates):
Mn  0.000  0.000  0.086  3.67
Tc  0.000  0.000  0.411  0.03
K  0.500  0.500  0.738  0.05
Mn  0.500  0.500  0.266  1.29

energy of formation = 0.7227 eV per atom
ΔE to the lowest computed polymorph = 94 meV per atom
theoretical density = 5.35 Mg/m³
SG = P4mm, No. 99
volume = 77 Å³/cell
VASP energy = -0.247 Ha/atom

---

[9]
An optimized crystal structure of KMnTc2, computed with GGA-PBE.

abc: 3.061 3.061 8.829
angles: 90.00 90.00 90.00
Each line ends with the local moment (μB).
Atoms (fractional coordinates):
Mn  0.500  0.500  0.830  3.84
K  0.000  0.000  0.487  0.04
Tc  0.000  0.000  0.014  0.12
Tc  0.500  0.500  0.169  0.39

energy of formation = 0.6755 eV per atom
ΔE to the lowest computed polymorph = 0 meV per atom
theoretical density = 5.82 Mg/m³
SG = P4mm, No. 99
volume = 83 Å³/cell
VASP energy = -0.260 Ha/atom

---

[10]
An optimized crystal structure of KMnTc2, computed with GGA-PBE.

abc: 4.598 4.598 4.598
angles: 60.00 60.00 60.00
Each line ends with the local moment (μB).
Atoms (fractional coordinates):
K  0.500  0.500  0.500  0.01
Tc  0.000  0.000  0.000  -0.51
Tc  0.250  0.250  0.250  0.12
Mn  0.750  0.750  0.750  3.64

energy of formation = 1.3454 eV per atom
ΔE to the lowest computed polymorph = 670 meV per atom
theoretical density = 7.01 Mg/m³
SG = F-43m, No. 216
volume = 69 Å³/cell
VASP energy = -0.235 Ha/atom

---

[11]
An optimized crystal structure of KMnTc2, computed with GGA-PBE.

abc: 10.467 10.467 10.467
angles: 15.62 15.62 15.62
Each line ends with the local moment (μB).
Atoms (fractional coordinates):
Mn  0.735  0.735  0.735  3.54
Tc  0.266  0.266  0.266  0.08
K  0.501  0.501  0.501  -0.02
Tc  0.998  0.998  0.998  0.09

energy of formation = 0.7398 eV per atom
ΔE to the lowest computed polymorph = 64 meV per atom
theoretical density = 6.65 Mg/m³
SG = R3m, No. 160
volume = 72 Å³/cell
VASP energy = -0.258 Ha/atom

---

[12]
An optimized crystal structure of KMnTc2, computed with GGA-PBE.

abc: 3.805 2.851 8.564
angles: 67.33 90.00 90.00
Each line ends with the local moment (μB).
Atoms (fractional coordinates):
Tc  0.000  0.951  0.010  -0.32
K  0.000  0.531  0.497  0.02
Tc  0.500  0.376  0.149  -0.12
Mn  0.500  0.642  0.843  3.37

energy of formation = 0.7196 eV per atom
ΔE to the lowest computed polymorph = 44 meV per atom
theoretical density = 5.62 Mg/m³
SG = Pm, No. 6
volume = 86 Å³/cell
VASP energy = -0.258 Ha/atom